! ScIn2Rh, relaxed, DFT GGA-PBE; values from VASP
&SYSTEM
  ibrav = 0, nat = 4, ntyp = 3
/
ATOMIC_SPECIES
In 114.82 In.upf
Rh 102.91 Rh.upf
Sc 44.96 Sc.upf
CELL_PARAMETERS angstrom
3.194 0.000 0.000
0.000 3.194 0.000
0.000 0.000 8.102
ATOMIC_POSITIONS crystal
In 0.000 0.000 0.988
Rh 0.000 0.000 0.514
In 0.500 0.500 0.294
Sc 0.500 0.500 0.704
! ρ in g cm⁻³: 7.58
! Spin magnetization in μB/atom: 0.000
! Formation energy in kJ/mol of formula units: -166
! Total DFT energy (no corrections) in eV per cell: -20.9
! DOS(E_F) in states/eV/f.u.: 1.6
! Crystal system: tetragonal

=====

! Ta2BeCu, relaxed, DFT GGA-PBE; values from VASP
&SYSTEM
  ibrav = 0, nat = 4, ntyp = 3
/
ATOMIC_SPECIES
Cu 63.55 Cu.upf
Ta 180.95 Ta.upf
Be 9.01 Be.upf
CELL_PARAMETERS angstrom
4.409 0.000 0.000
2.204 3.818 0.000
2.204 1.273 3.600
ATOMIC_POSITIONS crystal
Cu 0.750 0.750 0.750
Ta 0.250 0.250 0.250
Ta 0.000 0.000 0.000
Be 0.500 0.500 0.500
! ρ in g cm⁻³: 11.91
! Spin magnetization in μB/atom: 0.000
! Formation energy in kJ/mol of formula units: 216
! Total DFT energy (no corrections) in eV per cell: -29.3
! DOS(E_F) in states/eV/f.u.: 4.6
! Crystal system: cubic

=====

! SrTcSbTe2, relaxed, DFT GGA-PBE; values from VASP
&SYSTEM
  ibrav = 0, nat = 5, ntyp = 4
/
ATOMIC_SPECIES
Sb 121.76 Sb.upf
Sr 87.62 Sr.upf
Tc 98.00 Tc.upf
Te 127.60 Te.upf
CELL_PARAMETERS angstrom
-5.735 -1.108 -0.998
1.488 -4.477 -3.584
-0.083 -3.664 4.543
ATOMIC_POSITIONS crystal
Sb 0.000 0.000 0.500
Sr 0.000 0.000 0.000
Tc 0.500 0.500 0.500
Te 0.500 0.000 0.000
Te 0.000 0.500 0.000
! ρ in g cm⁻³: 4.56
! Energy relative to the elements, uncorrected in eV per atom: 1.61
! Spin magnetization in μB/atom: 0.019
! ΔE to the lowest computed polymorph in kJ per mole of atoms: 172.05
! Total DFT energy (no corrections) in eV per cell: -14.4
! DOS(E_F) in states/eV/f.u.: 16.3
! Crystal system: tetragonal

=====

! Ba3LaSi, relaxed, DFT GGA-PBE; values from VASP
&SYSTEM
  ibrav = 0, nat = 5, ntyp = 3
/
ATOMIC_SPECIES
Ba 137.33 Ba.upf
Si 28.09 Si.upf
La 138.91 La.upf
CELL_PARAMETERS angstrom
-2.336 1.514 5.630
-3.416 -5.271 0.000
4.724 -3.063 2.784
ATOMIC_POSITIONS crystal
Ba 0.000 0.000 0.500
Si 0.000 0.000 0.000
Ba 0.000 0.500 0.000
Ba 0.500 0.000 0.000
La 0.500 0.500 0.500
! ρ in g cm⁻³: 3.88
! Energy relative to the elements, uncorrected in eV per atom: 0.23
! Spin magnetization in μB/atom: 0.001
! ΔE to the lowest computed polymorph in kJ per mole of atoms: 0.00
! Total DFT energy (no corrections) in eV per cell: -15.0
! DOS(E_F) in states/eV/f.u.: 7.6
! Crystal system: cubic

=====

! Li5Ga2Ag2, relaxed, DFT GGA-PBE; values from VASP
&SYSTEM
  ibrav = 0, nat = 18, ntyp = 3
/
ATOMIC_SPECIES
Li 6.94 Li.upf
Ag 107.87 Ag.upf
Ga 69.72 Ga.upf
CELL_PARAMETERS angstrom
1.429 6.042 0.104
3.276 -0.651 -7.223
-7.908 -1.336 0.918
ATOMIC_POSITIONS crystal
Li 0.622 0.153 0.907
Ag 0.235 0.882 0.756
Ag 0.480 0.118 0.244
Ga 0.766 0.742 0.500
Ga 0.494 0.500 0.000
Li 0.069 0.536 0.702
Li 0.417 0.938 0.500
Ga 0.266 0.258 0.500
Li 0.867 0.334 0.298
Li 0.122 0.254 0.907
Li 0.215 0.746 0.093
Ag 0.980 0.626 0.244
Ag 0.735 0.374 0.756
Li 0.715 0.847 0.093
Li 0.917 0.062 0.500
Ga 0.994 0.000 0.000
Li 0.569 0.666 0.702
Li 0.367 0.464 0.298
! ρ in g cm⁻³: 4.16
! Spin magnetization in μB/atom: 0.000
! ΔE to the lowest computed polymorph in kJ per mole of atoms: 13.06
! Formation energy in kJ/mol of formula units: -71
! Total DFT energy (no corrections) in eV per cell: -44.1
! DOS(E_F) in states/eV/f.u.: 4.0
! Crystal system: orthorhombic

=====

! Mn2NiPd3, relaxed, DFT GGA-PBE; values from VASP
&SYSTEM
  ibrav = 0, nat = 12, ntyp = 3
/
ATOMIC_SPECIES
Ni 58.69 Ni.upf
Pd 106.42 Pd.upf
Mn 54.94 Mn.upf
CELL_PARAMETERS angstrom
4.417 0.942 -2.306
0.155 4.548 -2.344
0.265 0.334 8.469
ATOMIC_POSITIONS crystal
Ni 0.023 0.773 0.045
Pd 0.553 0.304 0.609
Pd 0.528 0.278 0.055
Mn 0.365 0.121 0.252
Mn 0.635 0.879 0.748
Ni 0.977 0.227 0.955
Mn 0.887 0.631 0.252
Pd 0.944 0.194 0.391
Pd 0.472 0.722 0.945
Pd 0.447 0.696 0.391
Pd 0.056 0.806 0.609
Mn 0.113 0.369 0.748
! ρ in g cm⁻³: 9.29
! Spin magnetization in μB/atom: 1.535
! Formation energy in kJ/mol of formula units: -53
! Total DFT energy (no corrections) in eV per cell: -80.5
! DOS(E_F) in states/eV/f.u.: 3.5
! Crystal system: monoclinic

=====

! Zn2CdBi, relaxed, DFT GGA-PBE; values from VASP
&SYSTEM
  ibrav = 0, nat = 4, ntyp = 3
/
ATOMIC_SPECIES
Cd 112.41 Cd.upf
Zn 65.41 Zn.upf
Bi 208.98 Bi.upf
CELL_PARAMETERS angstrom
4.407 0.000 0.000
2.203 3.816 0.000
2.203 1.272 5.711
ATOMIC_POSITIONS crystal
Cd 0.674 0.674 0.979
Zn 0.076 0.076 0.771
Bi 0.492 0.492 0.524
Zn 0.258 0.258 0.225
! ρ in g cm⁻³: 7.82
! Spin magnetization in μB/atom: 0.000
! ΔE to the lowest computed polymorph in kJ per mole of atoms: 2.86
! Formation energy in kJ/mol of formula units: 66
! Total DFT energy (no corrections) in eV per cell: -6.7
! DOS(E_F) in states/eV/f.u.: 1.8
! Crystal system: trigonal

=====

! CdSiPt3, relaxed, DFT GGA-PBE; values from VASP
&SYSTEM
  ibrav = 0, nat = 5, ntyp = 3
/
ATOMIC_SPECIES
Pt 195.08 Pt.upf
Si 28.09 Si.upf
Cd 112.41 Cd.upf
CELL_PARAMETERS angstrom
-4.539 0.050 0.332
0.328 -0.323 4.529
0.073 4.540 0.318
ATOMIC_POSITIONS crystal
Pt 0.000 0.500 0.000
Si 0.000 0.000 0.000
Pt 0.000 0.000 0.500
Cd 0.500 0.500 0.500
Pt 0.500 0.000 0.000
! ρ in g cm⁻³: 12.78
! Energy relative to the elements, uncorrected in eV per atom: -0.03
! Spin magnetization in μB/atom: 0.000
! ΔE to the lowest computed polymorph in kJ per mole of atoms: 42.35
! Total DFT energy (no corrections) in eV per cell: -24.6
! DOS(E_F) in states/eV/f.u.: 1.7
! Crystal system: cubic

=====

! NdTm2V, relaxed, DFT GGA-PBE; values from VASP
&SYSTEM
  ibrav = 0, nat = 4, ntyp = 3
/
ATOMIC_SPECIES
Tm 168.93 Tm.upf
Nd 144.24 Nd.upf
V 50.94 V.upf
CELL_PARAMETERS angstrom
-3.051 -0.427 -1.350
-2.694 -0.298 1.992
-3.379 11.116 -0.069
ATOMIC_POSITIONS crystal
Tm 0.919 0.919 0.242
Tm 0.081 0.081 0.758
Nd 0.500 0.500 0.500
V 0.000 0.000 0.000
! ρ in g cm⁻³: 7.89
! Spin magnetization in μB/atom: 0.770
! ΔE to the lowest computed polymorph in kJ per mole of atoms: 41.18
! Formation energy in kJ/mol of formula units: 236
! Total DFT energy (no corrections) in eV per cell: -20.4
! DOS(E_F) in states/eV/f.u.: 5.5
! Crystal system: trigonal

=====

! Dy2TaC, relaxed, DFT GGA-PBE; values from VASP
&SYSTEM
  ibrav = 0, nat = 4, ntyp = 3
/
ATOMIC_SPECIES
Dy 162.50 Dy.upf
C 12.01 C.upf
Ta 180.95 Ta.upf
CELL_PARAMETERS angstrom
3.350 0.000 0.000
1.675 2.901 0.000
1.675 0.967 8.956
ATOMIC_POSITIONS crystal
Dy 0.115 0.115 0.655
C 0.500 0.500 0.500
Dy 0.885 0.885 0.345
Ta 0.000 0.000 0.000
! ρ in g cm⁻³: 9.88
! Spin magnetization in μB/atom: 0.198
! Formation energy in kJ/mol of formula units: 177
! Total DFT energy (no corrections) in eV per cell: -28.4
! DOS(E_F) in states/eV/f.u.: 4.1
! Crystal system: trigonal

=====

! La6AgOs2, relaxed, DFT GGA-PBE; values from VASP
&SYSTEM
  ibrav = 0, nat = 18, ntyp = 3
/
ATOMIC_SPECIES
La 138.91 La.upf
Os 190.23 Os.upf
Ag 107.87 Ag.upf
CELL_PARAMETERS angstrom
6.319 -0.025 1.492
1.370 8.792 3.832
-0.047 -0.031 9.687
ATOMIC_POSITIONS crystal
La 0.165 0.463 0.324
Os 0.000 0.747 0.754
La 0.835 0.537 0.676
La 0.836 0.176 0.036
Os 0.500 0.246 0.253
La 0.286 0.442 0.943
La 0.714 0.558 0.057
La 0.665 0.324 0.463
Ag 0.250 0.251 0.749
La 0.336 0.036 0.176
Os 0.000 0.253 0.246
La 0.786 0.943 0.442
La 0.214 0.057 0.558
Os 0.500 0.754 0.747
Ag 0.750 0.749 0.251
La 0.664 0.964 0.824
La 0.164 0.824 0.964
La 0.335 0.676 0.537
! ρ in g cm⁻³: 8.13
! Spin magnetization in μB/atom: 0.000
! Formation energy in kJ/mol of formula units: -132
! Total DFT energy (no corrections) in eV per cell: -112.5
! DOS(E_F) in states/eV/f.u.: 9.7
! Crystal system: monoclinic

=====

! KCa2P, relaxed, DFT GGA-PBE; values from VASP
&SYSTEM
  ibrav = 0, nat = 4, ntyp = 3
/
ATOMIC_SPECIES
P 30.97 P.upf
Ca 40.08 Ca.upf
K 39.10 K.upf
CELL_PARAMETERS angstrom
7.429 -0.005 -0.006
3.929 6.305 0.006
-4.952 -4.461 3.281
ATOMIC_POSITIONS crystal
P 0.750 0.250 0.500
Ca 0.597 0.597 0.000
Ca 0.903 0.903 0.000
K 0.250 0.750 0.500
! ρ in g cm⁻³: 1.62
! Spin magnetization in μB/atom: 0.000
! Formation energy in kJ/mol of formula units: -169
! Total DFT energy (no corrections) in eV per cell: -12.3
! DOS(E_F) in states/eV/f.u.: 2.3
! Crystal system: orthorhombic

=====

! Y3NF10, relaxed, DFT GGA-PBE; values from VASP
&SYSTEM
  ibrav = 0, nat = 28, ntyp = 3
/
ATOMIC_SPECIES
Y 88.91 Y.upf
F 19.00 F.upf
N 14.01 N.upf
CELL_PARAMETERS angstrom
3.458 -7.502 -0.676
-3.226 -5.598 -5.192
4.077 -2.077 -6.911
ATOMIC_POSITIONS crystal
Y 0.761 0.761 0.239
Y 0.239 0.239 0.761
F 0.175 0.500 0.500
F 0.500 0.825 0.175
F 0.111 0.111 0.668
Y 0.761 0.239 0.239
Y 0.761 0.239 0.761
F 0.889 0.889 0.889
Y 0.239 0.761 0.239
F 0.332 0.889 0.889
F 0.500 0.500 0.175
F 0.500 0.175 0.825
Y 0.239 0.761 0.761
F 0.175 0.500 0.825
F 0.825 0.175 0.500
F 0.111 0.668 0.111
F 0.111 0.111 0.111
F 0.175 0.825 0.500
F 0.825 0.500 0.500
F 0.889 0.332 0.889
F 0.668 0.111 0.111
N 0.250 0.250 0.250
F 0.889 0.889 0.332
F 0.500 0.500 0.825
F 0.500 0.825 0.500
F 0.825 0.500 0.175
N 0.750 0.750 0.750
F 0.500 0.175 0.500
! ρ in g cm⁻³: 3.88
! Energy relative to the elements, uncorrected in eV per atom: -3.12
! Spin magnetization in μB/atom: 0.225
! Total DFT energy (no corrections) in eV per cell: -180.2
! DOS(E_F) in states/eV/f.u.: 18.1
! Crystal system: cubic

=====

! Dy2GaFeCo6, relaxed, DFT GGA-PBE; values from VASP
&SYSTEM
  ibrav = 0, nat = 10, ntyp = 4
/
ATOMIC_SPECIES
Co 58.93 Co.upf
Dy 162.50 Dy.upf
Ga 69.72 Ga.upf
Fe 55.84 Fe.upf
CELL_PARAMETERS angstrom
6.179 0.000 0.000
0.000 6.179 0.000
3.090 3.089 4.369
ATOMIC_POSITIONS crystal
Co 0.255 0.745 0.000
Co 0.745 0.745 0.510
Co 0.255 0.255 0.490
Dy 0.250 0.750 0.500
Ga 0.000 0.000 0.000
Fe 0.500 0.500 0.000
Co 0.745 0.255 0.000
Co 0.745 0.745 0.000
Dy 0.750 0.250 0.500
Co 0.255 0.255 0.000
! ρ in g cm⁻³: 8.01
! Spin magnetization in μB/atom: 0.890
! Formation energy in kJ/mol of formula units: 361
! Total DFT energy (no corrections) in eV per cell: -59.6
! DOS(E_F) in states/eV/f.u.: 8.3
! Crystal system: cubic

=====

! Tm3AlCu, relaxed, DFT GGA-PBE; values from VASP
&SYSTEM
  ibrav = 0, nat = 20, ntyp = 3
/
ATOMIC_SPECIES
Tm 168.93 Tm.upf
Al 26.98 Al.upf
Cu 63.55 Cu.upf
CELL_PARAMETERS angstrom
7.103 0.000 0.000
0.000 8.381 -0.200
0.000 -3.512 8.421
ATOMIC_POSITIONS crystal
Tm 0.485 0.714 0.564
Tm 0.168 0.608 0.810
Tm 0.985 0.786 0.436
Tm 0.515 0.286 0.436
Al 0.841 0.550 0.582
Tm 0.831 0.974 0.847
Cu 0.036 0.338 0.913
Tm 0.169 0.026 0.153
Al 0.341 0.950 0.418
Tm 0.668 0.892 0.190
Tm 0.669 0.474 0.847
Tm 0.332 0.108 0.810
Tm 0.015 0.214 0.564
Tm 0.832 0.392 0.190
Cu 0.464 0.838 0.913
Tm 0.331 0.526 0.153
Al 0.159 0.450 0.418
Al 0.659 0.050 0.582
Cu 0.536 0.162 0.087
Cu 0.964 0.662 0.087
! ρ in g cm⁻³: 7.99
! Spin magnetization in μB/atom: 0.000
! Formation energy in kJ/mol of formula units: -85
! Total DFT energy (no corrections) in eV per cell: -88.5
! DOS(E_F) in states/eV/f.u.: 5.4
! Crystal system: monoclinic

=====

! SrFeAs, relaxed, DFT GGA-PBE; values from VASP
&SYSTEM
  ibrav = 0, nat = 3, ntyp = 3
/
ATOMIC_SPECIES
Fe 55.84 Fe.upf
As 74.92 As.upf
Sr 87.62 Sr.upf
CELL_PARAMETERS angstrom
-3.744 3.545 -3.055
-5.974 0.396 -0.276
4.880 -0.406 3.455
ATOMIC_POSITIONS crystal
Fe 0.380 0.380 0.000
As 0.952 0.952 0.000
Sr 0.667 0.667 0.000
! ρ in g cm⁻³: 5.83
! Spin magnetization in μB/atom: 0.414
! Formation energy in kJ/mol of formula units: -23
! Total DFT energy (no corrections) in eV per cell: -15.0
! DOS(E_F) in states/eV/f.u.: 2.9
! Crystal system: tetragonal